This record from the Alexandria database describes a relaxed Na2CrReO6 crystal. The functional is PBE+U.

final energy = -69.840 eV per cell

Lattice parameters (Å, degrees): 5.4737 5.4737 5.4737 60.00 60.00 60.00
Element x y z (fractional)
1 Na 0.2500 0.2500 0.2500
2 Na 0.7500 0.7500 0.7500
3 Cr 0.0000 0.0000 0.0000
4 Re 0.5000 0.5000 0.5000
5 O 0.2561 0.2561 0.7439
6 O 0.2561 0.7439 0.2561
7 O 0.2561 0.7439 0.7439
8 O 0.7439 0.2561 0.2561
9 O 0.7439 0.2561 0.7439
10 O 0.7439 0.7439 0.2561